Record 1
Entry from Alexandria via LeMat-Bulk: a relaxed structure of K2AsRh (PBE-GGA).

Cell: 2.9998 2.9998 10.4518 Å, 90.00 90.00 90.00°
Closest atoms and distances in Å follow each position.
Fractional coordinates of all 4 atoms:
K: 0.0000 0.0000 0.2503  4 K 3.00
K: 0.0000 0.0000 0.7497  4 K 3.00
As: 0.5000 0.5000 0.0000  4 As 3.00
Rh: 0.5000 0.5000 0.5000  4 Rh 3.00

Values from the calculation:
**Space group**: No. 123
**E_form**: 8.8 kcal/mol of atoms
**Size of the total moment**: 0.18 μB/atom

=====

Record 2
Entry from Alexandria via LeMat-Bulk: a relaxed structure of Cd2PdBr (PBE-GGA).

Cell: 5.3730 5.3730 16.4901 Å, 90.00 90.00 90.00°
Closest atoms and distances in Å follow each position.
Fractional coordinates of all 16 atoms:
Cd: 0.1758 0.2500 0.1250  2 Pd 2.64
Cd: 0.2500 0.6758 0.3750  2 Pd 2.64
Cd: 0.2500 0.8242 0.8750  2 Pd 2.64
Cd: 0.3242 0.2500 0.6250  2 Pd 2.64
Cd: 0.6758 0.7500 0.6250  2 Pd 2.64
Cd: 0.7500 0.1758 0.8750  2 Pd 2.64
Cd: 0.7500 0.3242 0.3750  2 Pd 2.64
Cd: 0.8242 0.7500 0.1250  2 Pd 2.64
Pd: 0.0000 0.0000 0.0000  4 Cd 2.64
Pd: 0.0000 0.5000 0.2500  4 Cd 2.64
Pd: 0.5000 0.0000 0.7500  4 Cd 2.64
Pd: 0.5000 0.5000 0.5000  4 Cd 2.64
Br: 0.0000 0.0000 0.5000  4 Cd 3.01
Br: 0.0000 0.5000 0.7500  4 Cd 3.01
Br: 0.5000 0.0000 0.2500  4 Cd 3.01
Br: 0.5000 0.5000 0.0000  4 Cd 3.01

Values from the calculation:
**E_form (uncorrected)**: -0.0342 eV per atom
**Space group**: No. 122
**Size of the total moment**: 0.00 μB/atom

=====

Record 3
Entry from Alexandria via LeMat-Bulk: a relaxed structure of CaPa2CrN5 (PBE-GGA).

Cell: 7.2452 7.2452 7.2452 Å, 125.79 125.79 80.24°
Closest atoms and distances in Å follow each position.
Fractional coordinates of all 18 atoms:
Ca: 0.2500 0.2500 0.0000  10 N 2.77-2.83
Ca: 0.7500 0.7500 0.0000  10 N 2.77-2.83
Pa: 0.1786 0.6786 0.8573  4 N 2.25-2.43
Pa: 0.3214 0.1786 0.5000  4 N 2.25-2.43
Pa: 0.6786 0.8214 0.5000  4 N 2.25-2.43
Pa: 0.8214 0.3214 0.1427  4 N 2.25-2.43
Cr: 0.2500 0.7500 0.5000  4 N 1.83
Cr: 0.7500 0.2500 0.5000  4 N 1.83
N: 0.0000 0.0000 0.0000  4 Pa 2.43
N: 0.0066 0.2193 0.5000  1 Cr 1.83
N: 0.2193 0.7193 0.2127  1 Cr 1.83
N: 0.2807 0.4934 0.5000  1 Cr 1.83
N: 0.4934 0.9934 0.2127  1 Cr 1.83
N: 0.5000 0.5000 0.0000  4 Pa 2.43
N: 0.5066 0.0066 0.7873  1 Cr 1.83
N: 0.7193 0.5066 0.5000  1 Cr 1.83
N: 0.7807 0.2807 0.7873  1 Cr 1.83
N: 0.9934 0.7807 0.5000  1 Cr 1.83

Values from the calculation:
**E_form (uncorrected)**: -1.2476 eV per atom
**Space group**: No. 140
**Size of the total moment**: 0.23 μB/atom

=====

Record 4
Entry from Alexandria via LeMat-Bulk: a relaxed structure of Si2NiAu (PBE-GGA).

Cell: 2.6614 4.8467 9.0576 Å, 90.00 90.00 90.00°
Closest atoms and distances in Å follow each position.
Fractional coordinates of all 8 atoms:
Si: 0.0000 0.0000 0.2193  2 Ni 2.39, 2 Si 2.66
Si: 0.0000 0.0000 0.7807  2 Ni 2.39, 2 Si 2.66
Si: 0.5000 0.5000 0.2807  2 Ni 2.39, 2 Si 2.66
Si: 0.5000 0.5000 0.7193  2 Ni 2.39, 2 Si 2.66
Ni: 0.0000 0.5000 0.5000  4 Si 2.39, 2 Ni 2.66
Ni: 0.5000 0.0000 0.0000  4 Si 2.39, 2 Ni 2.66
Au: 0.0000 0.5000 0.0000  2 Au 2.66, 4 Ni 2.76, 4 Si 2.87
Au: 0.5000 0.0000 0.5000  2 Au 2.66, 4 Ni 2.76, 4 Si 2.87

Values from the calculation:
**E_form (uncorrected)**: 0.1597 eV per atom
**Space group**: No. 71
**Size of the total moment**: 0.00 μB/atom

=====

Record 5
Entry from Alexandria via LeMat-Bulk: a relaxed structure of Pm4Pr2Sn3Cl2 (PBE-GGA).

Cell: 12.7888 12.7888 12.7888 Å, 156.20 156.20 33.91°
Closest atoms and distances in Å follow each position.
Fractional coordinates of all 11 atoms:
Pm: 0.0868 0.5868 0.5000  2 Cl 2.68
Pm: 0.4132 0.9132 0.5000  2 Cl 2.68
Pm: 0.5868 0.0868 0.5000  2 Cl 2.68
Pm: 0.9132 0.4132 0.5000  2 Cl 2.68
Pr: 0.1979 0.1979 0.0000  1 Cl 3.18, 1 Sn 3.22
Pr: 0.8021 0.8021 0.0000  1 Cl 3.18, 1 Sn 3.22
Sn: 0.3296 0.3296 0.0000  1 Pr 3.22, 4 Pm 3.34
Sn: 0.5000 0.5000 0.0000  8 Pm 3.39
Sn: 0.6704 0.6704 0.0000  1 Pr 3.22, 4 Pm 3.34
Cl: 0.0681 0.0681 0.0000  4 Pm 2.68
Cl: 0.9319 0.9319 0.0000  4 Pm 2.68

Values from the calculation:
**E_form (uncorrected)**: -0.8350 eV per atom
**Space group**: No. 139
**Size of the total moment**: 0.00 μB/atom

=====

Record 6
Entry from Alexandria via LeMat-Bulk: a relaxed structure of CsY2Re (PBE-GGA).

Cell: 8.3422 8.3422 11.8165 Å, 90.00 90.00 90.00°
Closest atoms and distances in Å follow each position.
Fractional coordinates of all 16 atoms:
Cs: 0.0000 0.2500 0.3750  12 Y 4.89-4.90, 4 Re 5.11, 4 Cs 5.11
Cs: 0.0000 0.7500 0.6250  12 Y 4.89-4.90, 4 Re 5.11, 4 Cs 5.11
Cs: 0.5000 0.2500 0.1250  12 Y 4.89-4.90, 4 Re 5.11, 4 Cs 5.11
Cs: 0.5000 0.7500 0.8750  12 Y 4.89-4.90, 4 Re 5.11, 4 Cs 5.11
Y: 0.0000 0.0000 0.0000  2 Re 2.56
Y: 0.0000 0.5000 0.0000  2 Re 2.56
Y: 0.2500 0.2500 0.7500  2 Re 2.56
Y: 0.2500 0.7500 0.2500  2 Re 2.56
Y: 0.5000 0.0000 0.5000  2 Re 2.56
Y: 0.5000 0.5000 0.5000  2 Re 2.56
Y: 0.7500 0.2500 0.7500  2 Re 2.56
Y: 0.7500 0.7500 0.2500  2 Re 2.56
Re: 0.0000 0.2500 0.8750  4 Y 2.56
Re: 0.0000 0.7500 0.1250  4 Y 2.56
Re: 0.5000 0.2500 0.6250  4 Y 2.56
Re: 0.5000 0.7500 0.3750  4 Y 2.56

Values from the calculation:
**Space group**: No. 141
**E_form**: 20.3 kcal/mol of atoms
**Size of the total moment**: 0.00 μB/atom

=====

Q: What is the formula in the fifth record?
A: Pm4Pr2Sn3Cl2

=====

Q: size of the total moment of number 5 (Pm4Pr2Sn3Cl2)?
A: 0.00 μB/atom

=====

Repeat the fourth record exactly.
Entry from Alexandria via LeMat-Bulk: a relaxed structure of Si2NiAu (PBE-GGA).

Cell: 2.6614 4.8467 9.0576 Å, 90.00 90.00 90.00°
Closest atoms and distances in Å follow each position.
Fractional coordinates of all 8 atoms:
Si: 0.0000 0.0000 0.2193  2 Ni 2.39, 2 Si 2.66
Si: 0.0000 0.0000 0.7807  2 Ni 2.39, 2 Si 2.66
Si: 0.5000 0.5000 0.2807  2 Ni 2.39, 2 Si 2.66
Si: 0.5000 0.5000 0.7193  2 Ni 2.39, 2 Si 2.66
Ni: 0.0000 0.5000 0.5000  4 Si 2.39, 2 Ni 2.66
Ni: 0.5000 0.0000 0.0000  4 Si 2.39, 2 Ni 2.66
Au: 0.0000 0.5000 0.0000  2 Au 2.66, 4 Ni 2.76, 4 Si 2.87
Au: 0.5000 0.0000 0.5000  2 Au 2.66, 4 Ni 2.76, 4 Si 2.87

Values from the calculation:
**E_form (uncorrected)**: 0.1597 eV per atom
**Space group**: No. 71
**Size of the total moment**: 0.00 μB/atom

=====

Q: Which value of size of the total moment does entry 3 give?
A: 0.23 μB/atom